No. 1
A plane-wave DFT calculation with GGA-PBE was carried out for KSc2FeH after structural relaxation.

total magnetic moment = 1.62 μB/f.u.
E = -2.890 eV/atom

Cell: 5.1350 5.1350 4.1865 Å, 90.00 90.00 90.00°
With the nearest neighbours (Å) after each atom.
Space group P4/mmm (No. 123)
Asymmetric unit:
K1 0.0000 0.0000 0.0000 (multiplicity 1)  2 Fe 2.09
Sc1 0.0000 0.5000 0.0000 (multiplicity 2)  2 K 2.57
Fe1 0.0000 0.0000 0.5000 (multiplicity 1)  2 K 2.09
H1 0.5000 0.5000 0.5000 (multiplicity 1)  8 Sc 3.31, 4 Fe 3.63

***

No. 2
A plane-wave DFT calculation with GGA-PBE was carried out for KV2FeH after structural relaxation.

total magnetic moment = 1.99 μB/f.u.
E = -4.941 eV/atom

Cell: 4.2266 4.2266 6.7725 Å, 90.00 90.00 90.00°
With the nearest neighbours (Å) after each atom.
Space group P4/mmm (No. 123)
Asymmetric unit:
K1 0.0000 0.0000 0.0000 (multiplicity 1)  4 H 2.99
V1 0.0000 0.5000 0.5000 (multiplicity 2)  2 Fe 2.11
Fe1 0.0000 0.0000 0.5000 (multiplicity 1)  4 V 2.11
H1 0.5000 0.5000 0.0000 (multiplicity 1)  4 K 2.99

***

No. 3
A plane-wave DFT calculation with GGA-PBE was carried out for KZnFeH6 after structural relaxation.

total magnetic moment = 1.04 μB/f.u.
E = -3.493 eV/atom

Cell: 5.2572 4.6059 7.7884 Å, 90.00 90.00 90.00°
With the nearest neighbours (Å) after each atom.
Space group Amm2 (No. 38)
Asymmetric unit:
K1 0.0000 0.0000 0.0000 (multiplicity 2)  12 H 2.73-2.79
Zn1 0.5000 0.0000 0.3347 (multiplicity 2)  6 H 1.83-1.84
Fe1 0.5000 0.0000 0.6730 (multiplicity 2)  6 H 1.57-1.58
H1 0.2921 0.2223 0.7390 (multiplicity 8)  1 Fe 1.58
H2 0.2959 0.0000 0.5258 (multiplicity 4)  1 Fe 1.57